{
  "formula": "DyHoCdBi",
  "functional": "GGA-PBE",
  "state": "relaxed",
  "n_ef_per_ev_atom": 1.18,
  "delta_e_f_ev_per_atom": -0.40,
  "spacegroup": "F-43m",
  "lattice_angstrom": [[0.000, 3.809, 3.809], [3.809, 0.000, 3.809], [3.809, 3.809, 0.000]],
  "species": ["Dy", "Ho", "Cd", "Bi"],
  "frac_coords": [[0.000, 0.000, 0.000], [0.500, 0.500, 0.500], [0.250, 0.250, 0.250], [0.750, 0.750, 0.750]]
}

{
  "formula": "NaDyCdBi",
  "functional": "GGA-PBE",
  "state": "relaxed",
  "n_ef_per_ev_atom": 0.98,
  "delta_e_f_ev_per_atom": -0.29,
  "spacegroup": "F-43m",
  "lattice_angstrom": [[0.000, 3.810, 3.810], [3.810, 0.000, 3.810], [3.810, 3.810, 0.000]],
  "species": ["Na", "Dy", "Cd", "Bi"],
  "frac_coords": [[0.000, 0.000, 0.000], [0.500, 0.500, 0.500], [0.750, 0.750, 0.750], [0.250, 0.250, 0.250]]
}